# 1
DFT (meta-GGA SCAN) results for KBeZn at its PBEsol-relaxed geometry.

Summary:
ΔE to the lowest computed polymorph, meV/atom: 425
Formation energy, eV per atom: 0.9231
Spin magnetization, μB/atom: 0.00

Lattice parameters (Å, degrees): 4.762 4.762 4.762 60.00 60.00 60.00
Fractional positions:
K1 0.000 0.000 0.000
Be1 0.750 0.750 0.750
Zn1 0.500 0.500 0.500

=====

# 2
DFT (meta-GGA SCAN) results for BaLa2Mo at its PBEsol-relaxed geometry.

Summary:
ΔE to the lowest computed polymorph, meV/atom: 0
Formation energy, eV per atom: 0.5991
Spin magnetization, μB/atom: 0.00

Lattice parameters (Å, degrees): 3.963 3.963 8.074 90.00 90.00 90.00
Fractional positions:
Ba1 0.000 0.000 0.000
La1 0.000 0.000 0.586
La2 0.500 0.500 0.375
Mo1 0.500 0.500 0.730